DFT (SCAN) results for K2RuAu at its PBEsol-relaxed geometry.

```
data_K2RuAu
_chemical_formula_sum 'K4 Ru2 Au2'
_space_group_name_H-M_alt 'C 1 2/m 1'
_space_group_IT_number 12
_space_group_name_Hall '-C 2y'
_cell_length_a 11.011
_cell_length_b 2.756
_cell_length_c 5.356
_cell_angle_alpha 90.00
_cell_angle_beta 96.21
_cell_angle_gamma 90.00
loop_
_atom_site_label
_atom_site_type_symbol
_atom_site_fract_x
_atom_site_fract_y
_atom_site_fract_z
_atom_site_occupancy
K1 K 0.249 0.000 0.250 1
Ru1 Ru 0.000 0.500 0.000 1
Au1 Au 0.000 0.000 0.500 1
```

Results
E_form: 0.75 eV/atom
Volume: 20.2 Å³/atom

DFT (SCAN) results for KRu2Au at its PBEsol-relaxed geometry.

```
data_KRu2Au
_chemical_formula_sum 'K1 Ru2 Au1'
_space_group_name_H-M_alt 'P m m 2'
_space_group_IT_number 25
_space_group_name_Hall 'P 2 -2'
_cell_length_a 2.740
_cell_length_b 3.519
_cell_length_c 8.011
_cell_angle_alpha 90.00
_cell_angle_beta 90.00
_cell_angle_gamma 90.00
loop_
_atom_site_label
_atom_site_type_symbol
_atom_site_fract_x
_atom_site_fract_y
_atom_site_fract_z
_atom_site_occupancy
K1 K 0.000 0.000 0.000 1
Ru1 Ru 0.000 0.000 0.471 1
Ru2 Ru 0.500 0.500 0.331 1
Au1 Au 0.500 0.500 0.691 1
```

Results
E_form: 0.40 eV/atom
Volume: 19.3 Å³/atom

DFT (SCAN) results for KAu3S at its PBEsol-relaxed geometry.

```
data_KAu3S
_chemical_formula_sum 'K1 Au3 S1'
_space_group_name_H-M_alt 'P m -3 m'
_space_group_IT_number 221
_space_group_name_Hall '-P 4 2 3'
_cell_length_a 4.910
_cell_length_b 4.910
_cell_length_c 4.910
_cell_angle_alpha 90.00
_cell_angle_beta 90.00
_cell_angle_gamma 90.00
loop_
_atom_site_label
_atom_site_type_symbol
_atom_site_fract_x
_atom_site_fract_y
_atom_site_fract_z
_atom_site_occupancy
K1 K 0.000 0.000 0.000 1
Au1 Au 0.000 0.500 0.500 1
S1 S 0.500 0.500 0.500 1
```

Results
Formation energy without anion corrections: 22 meV/atom
Volume: 23.7 Å³/atom

DFT (SCAN) results for K4Au6S5 at its PBEsol-relaxed geometry.

```
data_K4Au6S5
_chemical_formula_sum 'K8 Au12 S10'
_space_group_name_H-M_alt 'P -6 2 c'
_space_group_IT_number 190
_space_group_name_Hall 'P -6c -2c'
_cell_length_a 9.5188
_cell_length_b 9.5188
_cell_length_c 9.7901
_cell_angle_alpha 90.00
_cell_angle_beta 90.00
_cell_angle_gamma 120.00
loop_
_atom_site_label
_atom_site_type_symbol
_atom_site_fract_x
_atom_site_fract_y
_atom_site_fract_z
_atom_site_occupancy
K1 K 0.0000 0.0000 0.0000 1
K2 K 0.0662 0.6493 0.2500 1
Au1 Au 0.1616 0.4483 0.5844 1
S1 S 0.0282 0.2553 0.7500 1
S2 S 0.3333 0.6667 0.0516 1
```

Results
Formation energy without anion corrections: -771 meV/atom
Volume: 25.6 Å³/atom

DFT (SCAN) results for KSbAu2 at its PBEsol-relaxed geometry.

```
data_KSbAu2
_chemical_formula_sum 'K3 Sb3 Au6'
_space_group_name_H-M_alt 'R -3 m'
_space_group_IT_number 166
_space_group_name_Hall '-R 3 2"'
_cell_length_a 4.7692
_cell_length_b 4.7692
_cell_length_c 17.2160
_cell_angle_alpha 90.00
_cell_angle_beta 90.00
_cell_angle_gamma 120.00
loop_
_atom_site_label
_atom_site_type_symbol
_atom_site_fract_x
_atom_site_fract_y
_atom_site_fract_z
_atom_site_occupancy
K1 K 0.0000 0.0000 0.0000 1
Sb1 Sb 0.0000 0.0000 0.5000 1
Au1 Au 0.0000 0.0000 0.1921 1
```

Results
Formation energy without anion corrections: -320 meV/atom
Volume: 28.3 Å³/atom

DFT (SCAN) results for KSb3Au at its PBEsol-relaxed geometry.

```
data_KSb3Au
_chemical_formula_sum 'K1 Sb3 Au1'
_space_group_name_H-M_alt 'P m -3 m'
_space_group_IT_number 221
_space_group_name_Hall '-P 4 2 3'
_cell_length_a 5.451
_cell_length_b 5.451
_cell_length_c 5.451
_cell_angle_alpha 90.00
_cell_angle_beta 90.00
_cell_angle_gamma 90.00
loop_
_atom_site_label
_atom_site_type_symbol
_atom_site_fract_x
_atom_site_fract_y
_atom_site_fract_z
_atom_site_occupancy
K1 K 0.000 0.000 0.000 1
Sb1 Sb 0.000 0.500 0.500 1
Au1 Au 0.500 0.500 0.500 1
```

Results
Formation energy without anion corrections: 185 meV/atom
Volume: 32.4 Å³/atom